Entry 1:
BW2AuI | PBE-GGA | relaxed

Lattice parameters (Å, degrees): 5.0697 5.6845 5.0697 90.00 90.00 90.00
With the nearest neighbours (Å) after each atom.
Sites, in units of the cell vectors:
1 I 0.0000 0.5000 0.0000  2 Au 2.84
2 W 0.5000 0.0000 0.0000  2 Au 2.53
3 W 0.0000 0.0000 0.5000  2 Au 2.53
4 Au 0.0000 0.0000 0.0000  4 W 2.53
5 B 0.5000 0.5000 0.5000  4 I 3.58, 8 W 3.81

Results
Raw total energy ... -4.2542 eV/atom
Symmetry ... P4/mmm
Formation energy without anion corrections ... 3.228 eV/atom
V ... 29.22 A^3/atom
Crystal system ... tetragonal

Entry 2:
Cs3InH4 | PBE-GGA | relaxed

Lattice parameters (Å, degrees): 8.9481 8.7567 10.7853 90.00 90.00 90.00
With the nearest neighbours (Å) after each atom.
Sites, in units of the cell vectors:
1 H 0.2509 0.5020 0.4714  1 In 2.41
2 Cs 0.4979 0.7541 0.0277  7 H 3.11-3.40
3 H 0.9145 0.5895 0.7500  1 In 1.92
4 H 0.4145 0.9105 0.7500  1 In 1.92
5 In 0.2134 0.9871 0.7500  2 H 1.92-1.94
6 H 0.2509 0.5020 0.0286  1 In 2.41
7 Cs 0.4979 0.7541 0.4723  7 H 3.11-3.40
8 H 0.7509 0.9980 0.0286  1 In 2.41
9 In 0.7866 0.0129 0.2500  2 H 1.92-1.94
10 H 0.2491 0.0020 0.5286  1 In 2.41
11 Cs 0.7423 0.4395 0.2500  5 H 3.05-3.37
12 H 0.2335 0.7015 0.2500  1 In 1.94
13 Cs 0.9979 0.7459 0.0277  7 H 3.11-3.40
14 H 0.7665 0.2985 0.7500  1 In 1.94
15 Cs 0.5021 0.2459 0.9723  7 H 3.11-3.40
16 In 0.7134 0.5129 0.7500  2 H 1.92-1.94
17 In 0.2866 0.4871 0.2500  2 H 1.92-1.94
18 H 0.5855 0.0895 0.2500  1 In 1.92
19 Cs 0.5021 0.2459 0.5277  7 H 3.11-3.40
20 H 0.2491 0.0020 0.9714  1 In 2.41
21 H 0.2665 0.2015 0.7500  1 In 1.94
22 H 0.7491 0.4980 0.5286  1 In 2.41
23 Cs 0.2577 0.5605 0.7500  5 H 3.05-3.37
24 Cs 0.0021 0.2541 0.9723  7 H 3.11-3.40
25 Cs 0.2423 0.0605 0.2500  5 H 3.05-3.37
26 Cs 0.0021 0.2541 0.5277  7 H 3.11-3.40
27 H 0.7509 0.9980 0.4714  1 In 2.41
28 Cs 0.7577 0.9395 0.7500  5 H 3.05-3.37
29 H 0.7491 0.4980 0.9714  1 In 2.41
30 Cs 0.9979 0.7459 0.4723  7 H 3.11-3.40
31 H 0.7335 0.7985 0.2500  1 In 1.94
32 H 0.0855 0.4105 0.2500  1 In 1.92

Results
Raw total energy ... -2.4545 eV/atom
Symmetry ... Pnma
V ... 26.41 A^3/atom
Crystal system ... orthorhombic

Entry 3:
HfCrP2Pt | PBE-GGA | relaxed

Lattice parameters (Å, degrees): 4.2939 4.8622 4.2939 90.00 90.00 90.00
With the nearest neighbours (Å) after each atom.
Sites, in units of the cell vectors:
1 Pt 0.0000 0.5000 0.0000  2 Cr 2.43
2 P 0.5000 0.0000 0.0000  2 Cr 2.15
3 Hf 0.5000 0.5000 0.5000  4 Pt 3.04, 8 P 3.24
4 P 0.0000 0.0000 0.5000  2 Cr 2.15
5 Cr 0.0000 0.0000 0.0000  4 P 2.15

Results
Raw total energy ... -7.0563 eV/atom
Energy of formation from the pure elements ... 0.23 eV/atom
Symmetry ... P4/mmm
V ... 17.93 A^3/atom
Crystal system ... tetragonal

Entry 4:
K2TlO4 | PBE-GGA | relaxed

Lattice parameters (Å, degrees): 4.4964 4.4964 7.4480 72.43 72.43 90.00
With the nearest neighbours (Å) after each atom.
Sites, in units of the cell vectors:
1 O 0.8434 0.8434 0.3132  1 Tl 2.11
2 O 0.0000 0.5000 0.0000  2 Tl 2.25
3 O 0.5000 0.0000 0.0000  2 Tl 2.25
4 Tl 0.0000 0.0000 0.0000  6 O 2.11-2.25
5 K 0.6430 0.6430 0.7140  5 O 2.70-2.96
6 O 0.1566 0.1566 0.6868  1 Tl 2.11
7 K 0.3570 0.3570 0.2860  5 O 2.70-2.96

Results
Raw total energy ... -3.9968 eV/atom
Symmetry ... I4/mmm
Formation energy without anion corrections ... -0.512 eV/atom
V ... 19.45 A^3/atom
Crystal system ... tetragonal

Entry 5:
CeNp2O6 | PBE-GGA | relaxed

Lattice parameters (Å, degrees): 3.8266 3.8266 8.5750 102.89 102.89 90.00
With the nearest neighbours (Å) after each atom.
Sites, in units of the cell vectors:
1 Np 0.3330 0.3330 0.6661  8 O 2.32-2.34
2 O 0.0867 0.5867 0.1734  2 Np 2.32, 2 Ce 2.38
3 O 0.9133 0.4133 0.8266  2 Np 2.32, 2 Ce 2.38
4 O 0.2500 0.7500 0.5000  4 Np 2.34
5 O 0.7500 0.2500 0.5000  4 Np 2.34
6 Np 0.6670 0.6670 0.3339  8 O 2.32-2.34
7 O 0.5867 0.0867 0.1734  2 Np 2.32, 2 Ce 2.38
8 Ce 0.0000 0.0000 0.0000  8 O 2.38
9 O 0.4133 0.9133 0.8266  2 Np 2.32, 2 Ce 2.38

Results
Raw total energy ... -10.0808 eV/atom
Symmetry ... I4/mmm
Formation energy without anion corrections ... -3.240 eV/atom
V ... 13.24 A^3/atom
Crystal system ... tetragonal

Entry 6:
FeTeIr2 | PBE-GGA | relaxed

Lattice parameters (Å, degrees): 4.7962 4.7962 4.7962 129.98 129.98 73.44
With the nearest neighbours (Å) after each atom.
Sites, in units of the cell vectors:
1 Te 0.2500 0.7500 0.5000  8 Ir 2.79, 4 Fe 2.87
2 Ir 0.5000 0.5000 0.0000  4 Te 2.79, 4 Fe 2.79, 4 Ir 2.87
3 Ir 0.0000 0.0000 0.0000  4 Fe 2.79, 4 Te 2.79, 4 Ir 2.87
4 Fe 0.7500 0.2500 0.5000  8 Ir 2.79, 4 Te 2.87

Results
Raw total energy ... -7.0188 eV/atom
Symmetry ... I4/mmm
Formation energy without anion corrections ... 0.313 eV/atom
V ... 15.81 A^3/atom
Crystal system ... tetragonal

Entry 7:
BaNiCl2 | PBE-GGA | relaxed

Lattice parameters (Å, degrees): 8.0300 4.8872 4.0422 90.28 59.38 127.65
With the nearest neighbours (Å) after each atom.
Sites, in units of the cell vectors:
1 Cl 0.0000 0.0000 0.0000  4 Ni 3.16-3.18, 4 Ba 3.16-3.18, 4 Cl 3.46
2 Cl 0.5000 0.0000 0.5000  4 Ba 3.16-3.18, 4 Ni 3.16-3.18, 4 Cl 3.46
3 Ni 0.0000 0.5000 0.5000  8 Cl 3.16-3.18, 4 Ba 3.46
4 Ba 0.5000 0.5000 0.0000  8 Cl 3.16-3.18, 4 Ni 3.46

Results
Raw total energy ... -3.6958 eV/atom
Symmetry ... C2/m
Formation energy without anion corrections ... -0.846 eV/atom
V ... 24.14 A^3/atom
Crystal system ... monoclinic

Entry 8:
Pm2Er8Sc3 | PBE-GGA | relaxed

Lattice parameters (Å, degrees): 5.4037 7.4703 10.6947 110.45 90.00 90.00
With the nearest neighbours (Å) after each atom.
Sites, in units of the cell vectors:
1 Sc 0.5000 0.0000 0.0000  4 Er 2.95
2 Pm 0.4999 0.2390 0.4781  8 Er 3.39-3.58, 2 Pm 3.76
3 Pm 0.5001 0.7610 0.5219  8 Er 3.39-3.58, 2 Pm 3.76
4 Er 0.5000 0.3884 0.2015  1 Sc 2.95, 1 Er 3.17
5 Er 0.0001 0.6590 0.3181  4 Er 3.34, 2 Pm 3.39, 2 Sc 3.55
6 Sc 0.0000 0.2915 0.0000  3 Sc 3.12-3.47, 6 Er 3.28-3.37
7 Er 0.0000 0.1225 0.2451  4 Sc 3.28-3.65, 4 Er 3.48, 2 Pm 3.57
8 Er 0.0000 0.8775 0.7549  4 Sc 3.28-3.65, 4 Er 3.48, 2 Pm 3.57
9 Er 0.5000 0.6116 0.7985  1 Sc 2.95, 1 Er 3.17
10 Sc 0.0000 0.7085 0.0000  3 Sc 3.12-3.47, 6 Er 3.28-3.37
11 Er 0.5000 0.8132 0.2015  1 Sc 2.95, 1 Er 3.17
12 Er 0.5000 0.1868 0.7985  1 Sc 2.95, 1 Er 3.17
13 Er 0.9999 0.3410 0.6819  4 Er 3.34, 2 Pm 3.39, 2 Sc 3.55

Results
Raw total energy ... -4.7649 eV/atom
Energy of formation from the pure elements ... 0.23 eV/atom
Symmetry ... Cmmm
V ... 31.12 A^3/atom
Crystal system ... orthorhombic

- Among the records above, which one has the lowest V?
  CeNp2O6

- raw total energy of number 4 (K2TlO4)?
  -3.9968 eV/atom